The following is a PBE-GGA calculation of a relaxed structure of BaGaCl5, from the Alexandria database.

a = 7.592 Å, b = 7.591 Å, c = 11.246 Å
α = 111.79°, β = 111.82°, γ = 84.30°
Atoms (fractional coordinates):
Ba  0.500  0.000  0.000
Cl  0.868  0.277  0.195
Cl  0.591  0.909  0.750
Cl  0.160  0.255  0.569
Cl  0.777  0.368  0.695
Cl  0.223  0.632  0.305
Cl  0.840  0.745  0.431
Ga  0.917  0.583  0.250
Cl  0.244  0.340  0.931
Cl  0.132  0.723  0.805
Cl  0.756  0.660  0.069
Cl  0.409  0.091  0.250
Ga  0.083  0.417  0.750
Ba  0.500  0.000  0.500

Properties
density of states at the Fermi level: 0.00 states/eV/atom
total magnetization: 0.13 μB per formula unit
total energy: -52.0 eV per cell
ρ: 2.3 g cm⁻³
crystal system: monoclinic

---

The following is a PBE-GGA calculation of a relaxed structure of BaGa2HgCl8, from the Alexandria database.

a = 6.861 Å, b = 6.861 Å, c = 12.029 Å
α = 73.43°, β = 73.43°, γ = 60.00°
Atoms (fractional coordinates):
Cl  0.964  0.564  0.159
Cl  0.314  0.964  0.159
Hg  0.500  0.500  0.500
Ga  0.255  0.255  0.235
Ga  0.745  0.745  0.765
Cl  0.807  0.807  0.578
Cl  0.193  0.193  0.422
Ba  0.000  0.000  0.000
Cl  0.686  0.036  0.841
Cl  0.436  0.686  0.841
Cl  0.564  0.314  0.159
Cl  0.036  0.436  0.841

Properties
density of states at the Fermi level: 0.00 states/eV/atom
total magnetization: 0.00 μB per formula unit
total energy: -39.5 eV per cell
ρ: 2.7 g cm⁻³
crystal system: trigonal

---

The following is a PBE-GGA calculation of a relaxed structure of BaGa2HgCl6, from the Alexandria database.

a = 8.793 Å, b = 8.793 Å, c = 11.443 Å
α = 113.42°, β = 113.42°, γ = 93.91°
Atoms (fractional coordinates):
Cl  0.302  0.107  0.719
Ga  0.876  0.715  0.256
Ga  0.285  0.124  0.244
Cl  0.451  0.708  0.575
Cl  0.107  0.302  0.219
Cl  0.698  0.893  0.281
Hg  0.118  0.882  0.250
Cl  0.708  0.451  0.075
Cl  0.549  0.292  0.425
Ga  0.124  0.285  0.744
Ba  0.759  0.241  0.250
Cl  0.913  0.656  0.447
Ba  0.241  0.759  0.750
Cl  0.656  0.913  0.947
Ga  0.715  0.876  0.756
Cl  0.087  0.344  0.553
Cl  0.893  0.698  0.781
Hg  0.882  0.118  0.750
Cl  0.292  0.549  0.925
Cl  0.344  0.087  0.053

Properties
density of states at the Fermi level: 0.00 states/eV/atom
total magnetization: 0.00 μB per formula unit
total energy: -66.2 eV per cell
ρ: 3.2 g cm⁻³
crystal system: monoclinic